Here is a relaxed ScMn2Te crystal from Alexandria via LeMat-Bulk. Energies are from PBE.

Lattice parameters (Å, degrees): 7.7501 7.7501 5.6082 90.00 90.00 90.00
Last column: nearest neighbours and their distance in Å.
Space group I-42d (No. 122)
Asymmetric unit:
Sc 0.0000 0.0000 0.0000 (multiplicity 4)  2 Te 2.80, 4 Mn 2.98
Mn 0.2219 0.7500 0.6250 (multiplicity 8)  2 Te 2.68, 2 Mn 2.84, 2 Sc 2.98
Te 0.0000 0.0000 0.5000 (multiplicity 4)  4 Mn 2.68, 2 Sc 2.80

Properties
ρ = 5.57 g/cm3
M_tot = 7.2 μB per formula unit
Calculated volume = 84.21 Å³/f.u.
E = -6.699 eV/atom
DOS(E_F) = 1.207 states/eV per atom
ΔE_f (raw) = 0.2541 eV per atom

Here is a relaxed CaIn2Re crystal from Alexandria via LeMat-Bulk. Energies are from PBE.

Lattice parameters (Å, degrees): 3.2364 3.2364 29.8415 90.00 90.00 120.00
Last column: nearest neighbours and their distance in Å.
Space group R3m (No. 160, hexagonal axes)
Asymmetric unit:
Ca 0.0000 0.0000 0.0000 (multiplicity 3)  3 Re 2.98, 6 Ca 3.24
In 0.0000 0.0000 0.5174 (multiplicity 3)  3 Re 2.84
In 0.0000 0.0000 0.7625 (multiplicity 3)  9 In 3.23-3.24, 3 Ca 3.42
Re 0.0000 0.0000 0.2557 (multiplicity 3)  3 In 2.84, 3 Ca 2.98

Properties
ρ = 8.39 g/cm3
M_tot = 0.2 μB per formula unit
Relative energy among the computed polymorphs = 279 meV per atom
ΔH_f (0 K) = 50.8 kJ/mol of atoms
Calculated volume = 90.23 Å³/f.u.
E = -4.455 eV/atom
DOS(E_F) = 0.864 states/eV per atom

Here is a relaxed Dy2PdN crystal from Alexandria via LeMat-Bulk. Energies are from PBE.

Lattice parameters (Å, degrees): 3.4699 3.4699 21.4279 90.00 90.00 120.00
Last column: nearest neighbours and their distance in Å.
Space group R-3m (No. 166, hexagonal axes)
Asymmetric unit:
Dy 0.0000 0.0000 0.2316 (multiplicity 6)  3 N 2.44
Pd 0.0000 0.0000 0.0000 (multiplicity 3)  6 Dy 2.96
N 0.0000 0.0000 0.5000 (multiplicity 3)  6 Dy 2.44

Properties
ρ = 9.93 g/cm3
M_tot = 0.0 μB per formula unit
Relative energy among the computed polymorphs = 0 meV per atom
Calculated volume = 74.48 Å³/f.u.
E = -6.748 eV/atom
DOS(E_F) = 0.751 states/eV per atom
ΔE_f (raw) = -1.0679 eV per atom

Here is a relaxed TmAlNi4 crystal from Alexandria via LeMat-Bulk. Energies are from PBE.

Lattice parameters (Å, degrees): 5.0148 5.0148 3.8699 90.00 90.00 120.00
Last column: nearest neighbours and their distance in Å.
Space group P-6m2 (No. 187)
Asymmetric unit:
Tm 0.0000 0.0000 0.0000 (multiplicity 1)  15 Ni 2.90-3.17, 3 Al 2.90
Al 0.3333 0.6667 0.0000 (multiplicity 1)  6 Ni 2.43
Ni 0.5019 0.0038 0.5000 (multiplicity 3)  6 Ni 2.41-2.54, 2 Al 2.43
Ni 0.6667 0.3333 0.0000 (multiplicity 1)  6 Ni 2.41

Properties
ρ = 8.49 g/cm3
M_tot = 0.0 μB per formula unit
Relative energy among the computed polymorphs = 63 meV per atom
ΔH_f (0 K) = -45.8 kJ/mol of atoms
Calculated volume = 84.28 Å³/f.u.
E = -5.697 eV/atom
DOS(E_F) = 0.837 states/eV per atom